# BaAcHg4Pb2

BaAcHg4Pb2 after structural relaxation (PBE, Alexandria via LeMat-Bulk).

Unit cell a=9.6628 b=9.6628 c=9.6628 alpha=33.41 beta=33.41 gamma=33.41
With the nearest neighbours (Å) after each atom.
Fractional positions:
Ba: 0.0000 0.0000 0.0000  8 Hg 3.42-3.48
Ac: 0.5000 0.5000 0.5000  8 Hg 3.37-3.38
Hg: 0.1273 0.1273 0.1273  4 Pb 3.34-3.42, 3 Ac 3.38, 1 Ba 3.48
Hg: 0.3766 0.3766 0.3766  1 Ac 3.37, 4 Pb 3.39-3.48, 3 Ba 3.42
Hg: 0.6234 0.6234 0.6234  1 Ac 3.37, 4 Pb 3.39-3.48, 3 Ba 3.42
Hg: 0.8727 0.8727 0.8727  4 Pb 3.34-3.42, 3 Ac 3.38, 1 Ba 3.48
Pb: 0.2495 0.2495 0.2495  8 Hg 3.34-3.48
Pb: 0.7505 0.7505 0.7505  8 Hg 3.34-3.48

Calculated values
Calculated density   10.78 g/cm³
Size of the total moment   0.00 μB per formula unit
Raw total energy   -0.083 hartree per atom
Energy of formation from the pure elements   -0.41 eV per atom

# BaAcHgPd

BaAcHgPd after structural relaxation (PBE, Alexandria via LeMat-Bulk).

Unit cell a=5.6332 b=5.6332 c=5.6332 alpha=60.00 beta=60.00 gamma=60.00
With the nearest neighbours (Å) after each atom.
Fractional positions:
Ba: 0.0000 0.0000 0.0000  4 Hg 3.45, 4 Pd 3.45
Ac: 0.5000 0.5000 0.5000  4 Hg 3.45, 4 Pd 3.45
Hg: 0.7500 0.7500 0.7500  4 Ac 3.45, 4 Ba 3.45
Pd: 0.2500 0.2500 0.2500  4 Ac 3.45, 4 Ba 3.45

Calculated values
Calculated density   8.82 g/cm³
Size of the total moment   0.00 μB per formula unit
Raw total energy   -0.123 hartree per atom
Energy of formation from the pure elements   -0.46 eV per atom